Arrangement w

Below is a relaxed structure of TiOs3Se, with properties calculated at the PBE level.

Values from the calculation:
crystal system = cubic
size of the total moment = 0.0 μB/f.u.

abc: 4.506 4.506 4.506
angles: 90.00 90.00 90.00
Fractional coordinates of all 5 atoms:
Ti  0.500  0.500  0.500
Os  0.000  0.500  0.000
Os  0.500  0.000  0.000
Os  0.000  0.000  0.500
Se  0.000  0.000  0.000



Arrangement x

Below is a relaxed structure of TiOs3Se, with properties calculated at the PBE level.

Values from the calculation:
crystal system = cubic
size of the total moment = 0.0 μB/f.u.

abc: 4.580 4.580 4.580
angles: 90.00 90.00 90.00
Fractional coordinates of all 5 atoms:
Os  0.500  0.000  0.000
Os  0.000  0.500  0.000
Os  0.000  0.000  0.500
Ti  0.000  0.000  0.000
Se  0.500  0.500  0.500



Most stable of them? arrangement w.



Arrangement w

Below is a relaxed structure of Ti3OsSe, with properties calculated at the PBE level.

Values from the calculation:
crystal system = cubic
size of the total moment = 0.0 μB/f.u.

abc: 4.540 4.540 4.540
angles: 90.00 90.00 90.00
Fractional coordinates of all 5 atoms:
Ti  0.000  0.000  0.500
Ti  0.000  0.500  0.000
Ti  0.500  0.000  0.000
Se  0.000  0.000  0.000
Os  0.500  0.500  0.500



Arrangement x

Below is a relaxed structure of Ti3OsSe, with properties calculated at the PBE level.

Values from the calculation:
crystal system = cubic
size of the total moment = 0.0 μB/f.u.

abc: 4.761 4.761 4.761
angles: 90.00 90.00 90.00
Fractional coordinates of all 5 atoms:
Se  0.500  0.500  0.500
Ti  0.000  0.500  0.000
Ti  0.000  0.000  0.500
Ti  0.500  0.000  0.000
Os  0.000  0.000  0.000



Most stable of them? arrangement x.



Arrangement w

Below is a relaxed structure of TiOsSe2, with properties calculated at the PBE level.

Values from the calculation:
crystal system = tetragonal
size of the total moment = 0.0 μB/f.u.

abc: 4.509 4.509 8.203
angles: 74.05 74.05 90.00
Fractional coordinates of all 8 atoms:
Se  0.375  0.364  0.750
Se  0.875  0.886  0.750
Se  0.114  0.625  0.250
Se  0.636  0.125  0.250
Ti  0.250  0.750  0.500
Ti  0.500  0.500  0.000
Os  0.750  0.250  0.500
Os  0.000  0.000  0.000



Arrangement x

Below is a relaxed structure of TiOsSe2, with properties calculated at the PBE level.

Values from the calculation:
crystal system = cubic
size of the total moment = 0.0 μB/f.u.

abc: 4.470 4.470 4.470
angles: 60.00 60.00 60.00
Fractional coordinates of all 4 atoms:
Se  0.750  0.750  0.750
Se  0.250  0.250  0.250
Ti  0.000  0.000  0.000
Os  0.500  0.500  0.500



Most stable of them? arrangement w.



Arrangement w

Below is a relaxed structure of TlOsSe2, with properties calculated at the PBE level.

Values from the calculation:
crystal system = tetragonal
size of the total moment = 0.0 μB/f.u.

abc: 3.122 3.122 8.727
angles: 90.00 90.00 90.00
Fractional coordinates of all 4 atoms:
Se  0.000  0.000  0.926
Se  0.000  0.000  0.574
Os  0.500  0.500  0.750
Tl  0.500  0.500  0.250



Arrangement x

Below is a relaxed structure of TlOsSe2, with properties calculated at the PBE level.

Values from the calculation:
crystal system = monoclinic
size of the total moment = 0.0 μB/f.u.

abc: 3.305 4.751 5.979
angles: 55.74 90.00 90.00
Fractional coordinates of all 4 atoms:
Tl  0.500  0.500  0.500
Se  0.000  0.000  0.000
Se  0.500  0.500  0.000
Os  0.000  0.000  0.500



Most stable of them? arrangement w.



Arrangement w

Below is a relaxed structure of TlOsSe2, with properties calculated at the PBE level.

Values from the calculation:
crystal system = trigonal
size of the total moment = 0.0 μB/f.u.

abc: 11.058 11.058 11.058
angles: 15.67 15.67 15.67
Fractional coordinates of all 4 atoms:
Se  0.072  0.072  0.072
Se  0.928  0.928  0.928
Tl  0.500  0.500  0.500
Os  0.000  0.000  0.000



Arrangement x

Below is a relaxed structure of TlOsSe2, with properties calculated at the PBE level.

Values from the calculation:
crystal system = orthorhombic
size of the total moment = 0.1 μB/f.u.

abc: 3.295 4.737 4.988
angles: 90.00 90.00 90.00
Last column: magnetic moment on the atom in μB.
Fractional coordinates of all 4 atoms:
Se  0.000  0.000  0.000  0.02
Se  0.500  0.500  0.000  0.00
Os  0.000  0.500  0.500  0.11
Tl  0.500  0.000  0.500  0.00



Arrangement y

Below is a relaxed structure of TlOsSe2, with properties calculated at the PBE level.

Values from the calculation:
crystal system = trigonal
size of the total moment = 0.0 μB/f.u.

abc: 9.161 9.161 9.161
angles: 23.40 23.40 23.40
Fractional coordinates of all 4 atoms:
Se  0.118  0.118  0.118
Se  0.882  0.882  0.882
Os  0.500  0.500  0.500
Tl  0.000  0.000  0.000



Arrangement z

Below is a relaxed structure of TlOsSe2, with properties calculated at the PBE level.

Values from the calculation:
crystal system = trigonal
size of the total moment = 0.0 μB/f.u.

abc: 3.874 3.874 7.528
angles: 75.12 75.12 59.93
Fractional coordinates of all 4 atoms:
Se  0.528  0.528  0.416
Se  0.972  0.972  0.084
Tl  0.750  0.750  0.750
Os  0.250  0.250  0.250



Most stable of them? arrangement z.



Arrangement w

Below is a relaxed structure of TlOsSe2, with properties calculated at the PBE level.

Values from the calculation:
crystal system = tetragonal
size of the total moment = 0.0 μB/f.u.

abc: 5.120 5.120 5.120
angles: 129.42 129.42 74.33
Fractional coordinates of all 4 atoms:
Tl  0.500  0.500  0.000
Se  0.250  0.750  0.500
Se  0.000  0.000  0.000
Os  0.750  0.250  0.500



Arrangement x

Below is a relaxed structure of TlOsSe2, with properties calculated at the PBE level.

Values from the calculation:
crystal system = cubic
size of the total moment = 0.0 μB/f.u.

abc: 4.786 4.786 4.786
angles: 60.00 60.00 60.00
Fractional coordinates of all 4 atoms:
Os  0.000  0.000  0.000
Se  0.750  0.750  0.750
Se  0.250  0.250  0.250
Tl  0.500  0.500  0.500



Most stable of them? arrangement x.



Arrangement w

Below is a relaxed structure of TlOsSe2, with properties calculated at the PBE level.

Values from the calculation:
crystal system = tetragonal
size of the total moment = 0.0 μB/f.u.

abc: 3.062 3.062 9.477
angles: 90.00 90.00 90.00
Fractional coordinates of all 4 atoms:
Se  0.000  0.000  0.923
Se  0.500  0.500  0.255
Os  0.500  0.500  0.792
Tl  0.000  0.000  0.530



Arrangement x

Below is a relaxed structure of TlOsSe2, with properties calculated at the PBE level.

Values from the calculation:
crystal system = tetragonal
size of the total moment = 0.0 μB/f.u.

abc: 7.537 7.537 6.509
angles: 54.62 54.62 90.00
Fractional coordinates of all 8 atoms:
Se  0.522  0.125  0.250
Se  0.875  0.772  0.750
Se  0.375  0.478  0.750
Se  0.228  0.625  0.250
Os  0.500  0.500  0.000
Os  0.250  0.750  0.500
Tl  0.750  0.250  0.500
Tl  0.000  0.000  0.000



Most stable of them? arrangement x.



Arrangement w

Below is a relaxed structure of TlOsSe4, with properties calculated at the PBE level.

Values from the calculation:
crystal system = cubic
size of the total moment = 3.8 μB/f.u.

abc: 5.778 5.778 5.778
angles: 60.00 60.00 60.00
Last column: magnetic moment on the atom in μB.
Fractional coordinates of all 6 atoms:
Tl  0.750  0.750  0.750  0.03
Se  0.373  0.373  0.881  0.09
Se  0.373  0.373  0.373  0.09
Se  0.881  0.373  0.373  0.09
Se  0.373  0.881  0.373  0.09
Os  0.000  0.000  0.000  2.81



Arrangement x

Below is a relaxed structure of TlOsSe4, with properties calculated at the PBE level.

Values from the calculation:
crystal system = triclinic
size of the total moment = 0.0 μB/f.u.

abc: 6.656 7.157 7.145
angles: 79.27 105.77 106.02
Fractional coordinates of all 12 atoms:
Se  0.081  0.299  0.976
Se  0.498  0.207  0.783
Se  0.080  0.978  0.299
Se  0.919  0.701  0.024
Se  0.610  0.192  0.184
Se  0.920  0.022  0.701
Se  0.390  0.808  0.816
Se  0.502  0.793  0.217
Tl  0.161  0.406  0.403
Tl  0.839  0.594  0.597
Os  0.244  0.998  0.998
Os  0.756  0.002  0.002



Most stable of them? arrangement x.



Arrangement w

Below is a relaxed structure of Tl3OsSe, with properties calculated at the PBE level.

Values from the calculation:
crystal system = cubic
size of the total moment = 2.6 μB/f.u.

abc: 5.700 5.700 5.700
angles: 90.00 90.00 90.00
Last column: magnetic moment on the atom in μB.
Fractional coordinates of all 5 atoms:
Os  0.500  0.500  0.500  2.66
Tl  0.000  0.500  0.000  -0.03
Tl  0.000  0.000  0.500  -0.01
Tl  0.500  0.000  0.000  -0.02
Se  0.000  0.000  0.000  0.00



Arrangement x

Below is a relaxed structure of Tl3OsSe, with properties calculated at the PBE level.

Values from the calculation:
crystal system = cubic
size of the total moment = 0.0 μB/f.u.

abc: 5.293 5.293 5.293
angles: 90.00 90.00 90.00
Fractional coordinates of all 5 atoms:
Tl  0.000  0.500  0.000
Tl  0.500  0.000  0.000
Tl  0.000  0.000  0.500
Os  0.000  0.000  0.000
Se  0.500  0.500  0.500



Most stable of them? arrangement x.



Arrangement w

Below is a relaxed structure of VOsSe, with properties calculated at the PBE level.

Values from the calculation:
crystal system = orthorhombic
size of the total moment = 0.0 μB/f.u.

abc: 2.991 5.836 11.090
angles: 90.00 90.00 90.00
Fractional coordinates of all 12 atoms:
V  0.500  0.748  0.313
V  0.500  0.752  0.813
V  0.500  0.248  0.813
V  0.500  0.252  0.313
Se  0.500  0.500  0.630
Se  0.500  0.000  0.130
Se  0.000  0.000  0.673
Se  0.000  0.500  0.173
Os  0.000  0.000  0.438
Os  0.000  0.500  0.938
Os  0.000  0.000  0.950
Os  0.000  0.500  0.450



Arrangement x

Below is a relaxed structure of VOsSe, with properties calculated at the PBE level.

Values from the calculation:
crystal system = monoclinic
size of the total moment = 0.0 μB/f.u.

abc: 2.968 2.966 6.372
angles: 76.90 76.96 60.33
Fractional coordinates of all 3 atoms:
Se  0.809  0.324  0.897
V  0.387  0.899  0.182
Os  0.946  0.461  0.487



Most stable of them? arrangement w.



Arrangement w

Below is a relaxed structure of VOsSe4, with properties calculated at the PBE level.

Values from the calculation:
crystal system = tetragonal
size of the total moment = 0.0 μB/f.u.

abc: 6.945 6.945 6.945
angles: 105.02 105.02 118.79
Fractional coordinates of all 12 atoms:
Se  0.229  0.015  0.214
Se  0.240  0.554  0.314
Se  0.765  0.479  0.714
Se  0.240  0.925  0.686
Se  0.304  0.490  0.814
Se  0.765  0.052  0.286
Se  0.675  0.490  0.186
Se  0.802  0.015  0.786
V  0.220  0.220  0.000
V  0.970  0.470  0.500
Os  0.520  0.020  0.500
Os  0.770  0.770  0.000



Arrangement x

Below is a relaxed structure of VOsSe4, with properties calculated at the PBE level.

Values from the calculation:
crystal system = monoclinic
size of the total moment = 0.7 μB/f.u.

abc: 3.341 7.313 5.829
angles: 100.37 90.00 103.21
Last column: magnetic moment on the atom in μB.
Fractional coordinates of all 6 atoms:
Se  0.873  0.745  0.619  0.03
Se  0.403  0.807  0.127  0.01
Se  0.627  0.255  0.893  0.00
Se  0.096  0.192  0.370  0.05
V  0.005  0.011  0.941  0.04
Os  0.495  0.990  0.549  0.52



Most stable of them? arrangement x.



Arrangement w

Below is a relaxed structure of VOsSe2, with properties calculated at the PBE level.

Values from the calculation:
crystal system = trigonal
size of the total moment = 0.0 μB/f.u.

abc: 8.358 8.358 8.358
angles: 21.05 21.05 21.05
Fractional coordinates of all 4 atoms:
Se  0.903  0.903  0.903
Se  0.097  0.097  0.097
Os  0.000  0.000  0.000
V  0.500  0.500  0.500



Arrangement x

Below is a relaxed structure of VOsSe2, with properties calculated at the PBE level.

Values from the calculation:
crystal system = cubic
size of the total moment = 0.0 μB/f.u.

abc: 4.390 4.390 4.390
angles: 60.00 60.00 60.00
Fractional coordinates of all 4 atoms:
Os  0.500  0.500  0.500
V  0.000  0.000  0.000
Se  0.250  0.250  0.250
Se  0.750  0.750  0.750



Arrangement y

Below is a relaxed structure of VOsSe2, with properties calculated at the PBE level.

Values from the calculation:
crystal system = trigonal
size of the total moment = 2.7 μB/f.u.

abc: 8.121 8.121 8.121
angles: 25.44 25.44 25.44
Last column: magnetic moment on the atom in μB.
Fractional coordinates of all 4 atoms:
V  0.000  0.000  0.000  2.74
Se  0.106  0.106  0.106  -0.08
Se  0.894  0.894  0.894  -0.08
Os  0.500  0.500  0.500  -0.56



Arrangement z

Below is a relaxed structure of VOsSe2, with properties calculated at the PBE level.

Values from the calculation:
crystal system = tetragonal
size of the total moment = 2.0 μB/f.u.

abc: 5.493 5.493 6.958
angles: 66.75 66.75 90.00
Last column: magnetic moment on the atom in μB.
Fractional coordinates of all 8 atoms:
Se  0.631  0.125  0.250  -0.05
Se  0.875  0.881  0.750  -0.05
Se  0.375  0.369  0.750  -0.05
Se  0.119  0.625  0.250  -0.05
V  0.500  0.500  0.000  1.92
V  0.250  0.750  0.500  1.92
Os  0.000  0.000  0.000  -0.10
Os  0.750  0.250  0.500  -0.10



Most stable of them? arrangement w.